# 1
Compound: BaOsCl2
Source: Alexandria via LeMat-Bulk
Functional: PBE
Structure: optimized geometry

a b c (Å): 3.336 4.150 16.156
angles (deg): 90.00 90.00 90.00
Space group Imm2 (No. 44)
Asymmetric unit:
Ba1 0.000 0.000 0.000
Os1 0.000 0.500 0.331
Cl1 0.000 0.000 0.594
Cl2 0.000 0.500 0.833

## Properties
The magnetization is 1.3 μB per formula unit. The value obtained for the energy relative to the elements, uncorrected is -0.027 eV per atom. The crystal system is orthorhombic. The value obtained for the energy above the most stable polymorph in this dataset is 0.370 eV per atom.

# 2
Compound: BaOsCl2
Source: Alexandria via LeMat-Bulk
Functional: PBE
Structure: optimized geometry

a b c (Å): 7.175 9.147 5.047
angles (deg): 90.00 133.61 90.00
Space group C2/m (No. 12)
Asymmetric unit:
Ba1 0.000 0.000 0.000
Os1 0.000 0.500 0.000
Cl1 0.250 0.250 0.500

## Properties
The magnetization is 2.5 μB per formula unit. The value obtained for the energy relative to the elements, uncorrected is 0.051 eV per atom. The crystal system is monoclinic. The value obtained for the energy above the most stable polymorph in this dataset is 0.448 eV per atom.

# 3
Compound: BaOsCl6
Source: Alexandria via LeMat-Bulk
Functional: PBE
Structure: optimized geometry

a b c (Å): 6.644 6.656 7.214
angles (deg): 90.08 117.32 119.88
Space group P-1 (No. 2)
Asymmetric unit:
Ba1 0.000 0.000 0.000
Os1 0.000 0.500 0.500
Cl1 0.168 0.485 0.280
Cl2 0.204 0.317 0.720
Cl3 0.402 0.886 0.721

## Properties
The magnetization is 2.0 μB per formula unit. The value obtained for the energy relative to the elements, uncorrected is -1.150 eV per atom. The crystal system is triclinic. The value obtained for the energy above the most stable polymorph in this dataset is 0.011 eV per atom.

# 4
Compound: BaOs2Cl
Source: Alexandria via LeMat-Bulk
Functional: PBE
Structure: optimized geometry

a b c (Å): 3.083 3.828 8.450
angles (deg): 90.00 99.76 90.00
Space group Pm (No. 6)
Asymmetric unit:
Ba1 0.000 0.000 0.000
Os1 0.324 0.500 0.693
Os2 0.727 0.000 0.600
Cl1 0.603 0.500 0.217

## Properties
The magnetization is 0.0 μB per formula unit. The value obtained for the energy relative to the elements, uncorrected is 0.171 eV per atom. The crystal system is monoclinic. The value obtained for the energy above the most stable polymorph in this dataset is 0.164 eV per atom.